Density functional theory data (PBE) for a relaxed Pm2PrTm6 crystal.

a b c (Å): 9.512 9.512 6.546
angles (deg): 98.47 98.47 95.33
Positions (direct):
Pm1 0.115 0.169 0.372
Pm2 0.169 0.115 0.872
Pm3 0.831 0.885 0.128
Pm4 0.885 0.831 0.628
Pr1 0.379 0.621 0.750
Pr2 0.621 0.379 0.250
Tm1 0.037 0.443 0.735
Tm2 0.154 0.779 0.000
Tm3 0.221 0.846 0.500
Tm4 0.280 0.453 0.181
Tm5 0.443 0.037 0.235
Tm6 0.453 0.280 0.681
Tm7 0.547 0.720 0.319
Tm8 0.557 0.963 0.765
Tm9 0.720 0.547 0.819
Tm10 0.779 0.154 0.500
Tm11 0.846 0.221 0.000
Tm12 0.963 0.557 0.265

Calculated values
* offset from the most stable computed form: 28 meV per atom
* energy of formation from the pure elements: 0.100 eV per atom
* total magnetization: 0.00 μB per formula unit

Density functional theory data (PBE) for a relaxed Sc2Si5Os3 crystal.

a b c (Å): 8.157 8.157 8.157
angles (deg): 109.31 84.11 140.52
Positions (direct):
Sc1 0.140 0.233 0.373
Sc2 0.360 0.733 0.092
Sc3 0.640 0.267 0.908
Sc4 0.860 0.767 0.627
Si1 0.045 0.750 0.295
Si2 0.092 0.674 0.766
Si3 0.250 0.250 0.000
Si4 0.408 0.174 0.581
Si5 0.455 0.750 0.705
Si6 0.545 0.250 0.295
Si7 0.592 0.826 0.419
Si8 0.750 0.750 0.000
Si9 0.908 0.326 0.234
Si10 0.955 0.250 0.705
Os1 0.149 0.908 0.057
Os2 0.250 0.750 0.500
Os3 0.351 0.408 0.759
Os4 0.649 0.592 0.241
Os5 0.750 0.250 0.500
Os6 0.851 0.092 0.943

Calculated values
* formation energy from raw total energies: -0.6456 eV per atom
* total magnetization: 0.00 μB per formula unit

Density functional theory data (PBE) for a relaxed SmHo4Cd2 crystal.

a b c (Å): 10.706 10.706 10.706
angles (deg): 27.40 27.40 27.40
Positions (direct):
Sm1 0.000 0.000 0.000
Ho1 0.202 0.202 0.202
Ho2 0.394 0.394 0.394
Ho3 0.606 0.606 0.606
Ho4 0.798 0.798 0.798
Cd1 0.101 0.101 0.101
Cd2 0.899 0.899 0.899

Calculated values
* energy of formation from the pure elements: 0.216 eV per atom
* total magnetization: 0.03 μB per formula unit

Q: total magnetization of number 2 (Sc2Si5Os3)?
A: 0.00 μB per formula unit

Q: total magnetization of number 2 (Sc2Si5Os3)?
A: 0.00 μB per formula unit

Q: The highest total magnetization belongs to which entry?
A: SmHo4Cd2